Below is an optimized crystal structure of LaY3Th2N6, with properties calculated at the PBE level.

## Properties
Its crystal system is monoclinic. The spin magnetization is 0.00 μB per formula unit. The value obtained for the formation energy without anion corrections is -19.0 eV/f.u.

Cell lengths 3.5927, 7.1796, 8.0107 Å; angles 102.80, 102.96, 90.00 degrees
With the nearest neighbours (Å) after each atom.
Positions (direct):
1 Y 0.5000 0.5000 0.0000  6 N 2.48-2.53
2 Y 0.8340 0.1659 0.6680  6 N 2.47-2.56
3 Y 0.1660 0.8341 0.3320  6 N 2.47-2.56
4 Th 0.8342 0.6688 0.6685  6 N 2.49-2.55
5 Th 0.1658 0.3312 0.3315  6 N 2.49-2.55
6 N 0.3284 0.9130 0.6567  3 Y 2.47-2.54, 2 Th 2.53, 1 La 2.61
7 N 0.9981 0.7362 0.9962  3 Y 2.48-2.56, 1 Th 2.49, 2 La 2.61
8 N 0.3333 0.4160 0.6666  3 Y 2.53-2.54, 3 Th 2.55
9 N 0.6667 0.5840 0.3334  3 Y 2.53-2.54, 3 Th 2.55
10 N 0.0019 0.2638 0.0038  3 Y 2.48-2.56, 1 Th 2.49, 2 La 2.61
11 N 0.6716 0.0870 0.3433  3 Y 2.47-2.54, 2 Th 2.53, 1 La 2.61
12 La 0.5000 0.0000 0.0000  6 N 2.61